Arrangement w

The following is a DFT calculation (GGA-PBE) of KAg2F4 after structural relaxation.

- calculated volume (Å³/f.u.) = 124
- D(E_F) (states/eV/atom) = 0.74

The structure in POSCAR format:
```
KAg2F4
1.0
2.011 0.630 -6.184
4.732 -4.371 1.093
-6.953 -2.407 0.946
K Ag F
2 4 8
Direct
0.750 0.250 0.500 K
0.500 0.500 0.000 K
0.125 0.375 0.250 Ag
0.625 0.875 0.750 Ag
0.125 0.875 0.750 Ag
0.125 0.875 0.250 Ag
0.816 0.666 0.904 F
0.916 0.838 0.404 F
0.488 0.566 0.404 F
0.762 0.184 0.096 F
0.162 0.512 0.596 F
0.334 0.912 0.096 F
0.434 0.084 0.596 F
0.088 0.238 0.904 F
```

Arrangement x

The following is a DFT calculation (GGA-PBE) of KAg2F4 after structural relaxation.

- calculated volume (Å³/f.u.) = 139
- D(E_F) (states/eV/atom) = 0.43

The structure in POSCAR format:
```
KAg2F4
1.0
-3.953 -0.452 -1.089
-2.877 -0.624 2.889
-3.548 8.963 1.347
F Ag K
4 2 1
Direct
0.712 0.712 0.864 F
0.288 0.288 0.136 F
0.136 0.136 0.592 F
0.864 0.864 0.408 F
0.214 0.214 0.358 Ag
0.786 0.786 0.642 Ag
0.000 0.000 0.000 K
```

Which one sits at the top of the stability order? arrangement w does.

Arrangement w

The following is a DFT calculation (GGA-PBE) of K2Ag2F5 after structural relaxation.

- calculated volume (Å³/f.u.) = 163
- D(E_F) (states/eV/atom) = 0.21

The structure in POSCAR format:
```
K2Ag2F5
1.0
4.417 0.000 0.000
0.000 4.417 0.000
0.000 0.000 8.374
F Ag K
5 2 2
Direct
0.500 0.500 0.500 F
0.000 0.500 0.800 F
0.000 0.500 0.200 F
0.500 0.000 0.800 F
0.500 0.000 0.200 F
0.500 0.500 0.782 Ag
0.500 0.500 0.218 Ag
0.000 0.000 0.500 K
0.000 0.000 0.000 K
```

Arrangement x

The following is a DFT calculation (GGA-PBE) of K2Ag2F5 after structural relaxation.

- calculated volume (Å³/f.u.) = 172
- D(E_F) (states/eV/atom) = 0.12

The structure in POSCAR format:
```
K2Ag2F5
1.0
-0.067 4.379 0.652
-1.473 -3.197 6.283
6.159 0.316 -1.491
F K Ag
5 2 2
Direct
0.593 0.186 0.821 F
0.000 0.000 0.000 F
0.837 0.674 0.452 F
0.407 0.814 0.179 F
0.163 0.326 0.548 F
0.626 0.252 0.298 K
0.374 0.748 0.702 K
0.091 0.182 0.789 Ag
0.909 0.818 0.211 Ag
```

Which one sits at the top of the stability order? arrangement x does.

Arrangement w

The following is a DFT calculation (GGA-PBE) of KAgN2F after structural relaxation.

- calculated volume (Å³/f.u.) = 91
- D(E_F) (states/eV/atom) = 0.43

The structure in POSCAR format:
```
KAgN2F
1.0
4.086 0.000 0.000
0.000 4.086 0.000
0.000 0.000 5.457
K Ag F N
1 1 1 2
Direct
0.500 0.500 0.500 K
0.000 0.000 0.000 Ag
0.000 0.000 0.500 F
0.500 0.000 0.000 N
0.000 0.500 0.000 N
```

Arrangement x

The following is a DFT calculation (GGA-PBE) of KAgN2F after structural relaxation.

- calculated volume (Å³/f.u.) = 129
- D(E_F) (states/eV/atom) = 0.10

The structure in POSCAR format:
```
KAgN2F
1.0
5.230 0.000 0.000
0.000 5.230 0.000
0.000 0.000 4.705
F N K Ag
1 2 1 1
Direct
0.000 0.000 0.500 F
0.000 0.500 0.000 N
0.500 0.000 0.000 N
0.000 0.000 0.000 K
0.500 0.500 0.500 Ag
```

Which one sits at the top of the stability order? arrangement w does.

Arrangement w

The following is a DFT calculation (GGA-PBE) of KAgOF2 after structural relaxation.

- calculated volume (Å³/f.u.) = 82
- D(E_F) (states/eV/atom) = 0.68

The structure in POSCAR format:
```
KAgOF2
1.0
4.522 0.000 0.000
0.000 4.522 0.000
0.000 0.000 3.992
K Ag F O
1 1 2 1
Direct
0.500 0.500 0.500 K
0.000 0.000 0.000 Ag
0.000 0.500 0.000 F
0.500 0.000 0.000 F
0.000 0.000 0.500 O
```

Arrangement x

The following is a DFT calculation (GGA-PBE) of KAgOF2 after structural relaxation.

- calculated volume (Å³/f.u.) = 113
- D(E_F) (states/eV/atom) = 2.29

The structure in POSCAR format:
```
KAgOF2
1.0
4.808 0.000 0.000
0.000 4.808 0.000
0.000 0.000 4.872
O F Ag K
1 2 1 1
Direct
0.000 0.000 0.500 O
0.500 0.000 0.000 F
0.000 0.500 0.000 F
0.500 0.500 0.500 Ag
0.000 0.000 0.000 K
```

Which one sits at the top of the stability order? arrangement w does.

Arrangement w

The following is a DFT calculation (GGA-PBE) of K2AgPdF6 after structural relaxation.

- calculated volume (Å³/f.u.) = 168
- D(E_F) (states/eV/atom) = 0.24

The structure in POSCAR format:
```
K2AgPdF6
1.0
-4.419 3.150 -2.976
-5.899 -0.488 1.807
-2.793 4.778 2.770
F K Pd Ag
6 2 1 1
Direct
0.761 0.239 0.761 F
0.239 0.761 0.761 F
0.239 0.239 0.761 F
0.761 0.239 0.239 F
0.761 0.761 0.239 F
0.239 0.761 0.239 F
0.750 0.750 0.750 K
0.250 0.250 0.250 K
0.000 0.000 0.000 Pd
0.500 0.500 0.500 Ag
```

Arrangement x

The following is a DFT calculation (GGA-PBE) of K2AgPdF6 after structural relaxation.

- calculated volume (Å³/f.u.) = 164
- D(E_F) (states/eV/atom) = 0.15

The structure in POSCAR format:
```
K2AgPdF6
1.0
-0.374 0.644 6.072
-3.827 -4.839 0.278
6.805 -5.327 0.965
K F Ag Pd
4 12 2 2
Direct
0.494 0.466 0.250 K
0.994 0.034 0.750 K
0.006 0.966 0.250 K
0.506 0.534 0.750 K
0.801 0.772 0.967 F
0.560 0.015 0.262 F
0.772 0.799 0.531 F
0.440 0.985 0.738 F
0.060 0.485 0.762 F
0.728 0.299 0.969 F
0.301 0.728 0.467 F
0.940 0.515 0.238 F
0.228 0.201 0.469 F
0.199 0.228 0.033 F
0.272 0.701 0.031 F
0.699 0.272 0.533 F
0.500 0.000 0.000 Ag
0.000 0.500 0.500 Ag
0.000 0.500 0.000 Pd
0.500 0.000 0.500 Pd
```

Which one sits at the top of the stability order? arrangement x does.

Arrangement w

The following is a DFT calculation (GGA-PBE) of KRb2AgF6 after structural relaxation.

- calculated volume (Å³/f.u.) = 196

The structure in POSCAR format:
```
KRb2AgF6
1.0
6.474 0.000 -0.032
0.000 6.588 0.000
0.009 0.000 9.199
Ag F Rb K
2 12 4 2
Direct
0.500 0.000 0.500 Ag
0.000 0.500 0.000 Ag
0.265 0.685 0.036 F
0.926 0.525 0.224 F
0.735 0.315 0.964 F
0.681 0.264 0.543 F
0.235 0.185 0.464 F
0.319 0.736 0.457 F
0.819 0.764 0.957 F
0.426 0.975 0.724 F
0.574 0.025 0.276 F
0.181 0.236 0.043 F
0.765 0.815 0.536 F
0.074 0.475 0.776 F
0.991 0.042 0.750 Rb
0.009 0.958 0.250 Rb
0.509 0.542 0.750 Rb
0.491 0.458 0.250 Rb
0.500 0.000 0.000 K
0.000 0.500 0.500 K
```

Arrangement x

The following is a DFT calculation (GGA-PBE) of KRb2AgF6 after structural relaxation.

- calculated volume (Å³/f.u.) = 198
- D(E_F) (states/eV/atom) = 0.00

The structure in POSCAR format:
```
KRb2AgF6
1.0
-0.767 0.340 6.488
-3.360 -5.612 -0.103
1.868 -5.001 3.781
F Rb Ag K
6 2 1 1
Direct
0.772 0.772 0.000 F
0.228 0.772 0.000 F
0.228 0.228 0.000 F
0.772 0.228 0.000 F
0.772 0.772 0.457 F
0.228 0.228 0.543 F
0.250 0.750 0.500 Rb
0.750 0.250 0.500 Rb
0.000 0.000 0.000 Ag
0.500 0.500 0.000 K
```

Which one sits at the top of the stability order? arrangement w does.

Arrangement w

The following is a DFT calculation (GGA-PBE) of La2Ag2F after structural relaxation.

- calculated volume (Å³/f.u.) = 128
- D(E_F) (states/eV/atom) = 1.07

The structure in POSCAR format:
```
La2Ag2F
1.0
-2.008 -6.256 -2.756
6.766 -2.229 0.130
-0.694 -1.834 4.668
Ag F La
4 2 4
Direct
0.363 0.137 0.500 Ag
0.137 0.637 0.500 Ag
0.637 0.863 0.500 Ag
0.863 0.363 0.500 Ag
0.500 0.500 0.000 F
0.000 0.000 0.000 F
0.330 0.830 0.000 La
0.670 0.170 0.000 La
0.170 0.330 0.000 La
0.830 0.670 0.000 La
```

Arrangement x

The following is a DFT calculation (GGA-PBE) of La2Ag2F after structural relaxation.

- calculated volume (Å³/f.u.) = 123
- D(E_F) (states/eV/atom) = 1.32

The structure in POSCAR format:
```
La2Ag2F
1.0
3.788 0.000 0.000
0.000 3.788 0.000
1.894 1.894 8.587
Ag La F
2 2 1
Direct
0.250 0.750 0.500 Ag
0.750 0.250 0.500 Ag
0.598 0.598 0.804 La
0.402 0.402 0.196 La
0.000 0.000 0.000 F
```

Which one sits at the top of the stability order? arrangement w does.

Arrangement w

The following is a DFT calculation (GGA-PBE) of La2AgF after structural relaxation.

- calculated volume (Å³/f.u.) = 101
- D(E_F) (states/eV/atom) = 1.56

The structure in POSCAR format:
```
La2AgF
1.0
0.000 3.690 3.690
3.690 0.000 3.690
3.690 3.690 0.000
F La Ag
1 2 1
Direct
0.000 0.000 0.000 F
0.250 0.250 0.250 La
0.750 0.750 0.750 La
0.500 0.500 0.500 Ag
```

Arrangement x

The following is a DFT calculation (GGA-PBE) of La2AgF after structural relaxation.

- calculated volume (Å³/f.u.) = 122
- D(E_F) (states/eV/atom) = 0.92

The structure in POSCAR format:
```
La2AgF
1.0
-4.331 1.138 4.215
-2.943 -5.147 -1.633
-0.241 -5.338 5.680
La F Ag
4 2 2
Direct
0.561 0.125 0.250 La
0.375 0.439 0.750 La
0.189 0.625 0.250 La
0.875 0.811 0.750 La
0.250 0.750 0.500 F
0.500 0.500 0.000 F
0.750 0.250 0.500 Ag
0.000 0.000 0.000 Ag
```

Arrangement y

The following is a DFT calculation (GGA-PBE) of La2AgF after structural relaxation.

- calculated volume (Å³/f.u.) = 101
- D(E_F) (states/eV/atom) = 0.71

The structure in POSCAR format:
```
La2AgF
1.0
-0.829 3.565 -2.059
-3.748 0.556 -1.811
-3.823 4.062 4.288
F La Ag
1 2 1
Direct
0.000 0.000 0.000 F
0.736 0.736 0.792 La
0.264 0.264 0.208 La
0.500 0.500 0.500 Ag
```

Which one sits at the top of the stability order? arrangement y does.

Arrangement w

The following is a DFT calculation (GGA-PBE) of Rb2LaAgF6 after structural relaxation.

- calculated volume (Å³/f.u.) = 216
- D(E_F) (states/eV/atom) = 0.00

The structure in POSCAR format:
```
Rb2LaAgF6
1.0
-5.515 -2.985 -2.453
3.595 -5.530 -1.352
-1.962 -5.968 2.430
F Rb Ag La
6 2 1 1
Direct
0.242 0.242 0.516 F
0.758 0.758 0.484 F
0.242 0.758 0.000 F
0.758 0.758 0.000 F
0.242 0.242 0.000 F
0.758 0.242 0.000 F
0.750 0.250 0.500 Rb
0.250 0.750 0.500 Rb
0.500 0.500 0.000 Ag
0.000 0.000 0.000 La
```

Arrangement x

The following is a DFT calculation (GGA-PBE) of Rb2LaAgF6 after structural relaxation.

- calculated volume (Å³/f.u.) = 208
- D(E_F) (states/eV/atom) = 0.00

The structure in POSCAR format:
```
Rb2LaAgF6
1.0
6.631 0.000 0.017
0.000 6.815 0.000
0.089 0.000 9.200
La F Rb Ag
2 12 4 2
Direct
0.000 0.500 0.000 La
0.500 0.000 0.500 La
0.690 0.279 0.551 F
0.090 0.463 0.755 F
0.590 0.037 0.255 F
0.283 0.692 0.043 F
0.217 0.192 0.457 F
0.310 0.721 0.449 F
0.717 0.308 0.957 F
0.410 0.963 0.745 F
0.910 0.537 0.245 F
0.783 0.808 0.543 F
0.190 0.221 0.051 F
0.810 0.779 0.949 F
0.012 0.954 0.251 Rb
0.512 0.546 0.751 Rb
0.988 0.046 0.749 Rb
0.488 0.454 0.249 Rb
0.000 0.500 0.500 Ag
0.500 0.000 0.000 Ag
```

Which one sits at the top of the stability order? arrangement x does.

Arrangement w

The following is a DFT calculation (GGA-PBE) of LiAgF3 after structural relaxation.

- calculated volume (Å³/f.u.) = 55
- D(E_F) (states/eV/atom) = 1.58

The structure in POSCAR format:
```
LiAgF3
1.0
3.797 0.000 0.000
0.000 3.797 0.000
0.000 0.000 3.797
F Ag Li
3 1 1
Direct
0.000 0.500 0.000 F
0.500 0.000 0.000 F
0.000 0.000 0.500 F
0.500 0.500 0.500 Ag
0.000 0.000 0.000 Li
```

Arrangement x

The following is a DFT calculation (GGA-PBE) of LiAgF3 after structural relaxation.

- calculated volume (Å³/f.u.) = 78
- D(E_F) (states/eV/atom) = 0.80

The structure in POSCAR format:
```
LiAgF3
1.0
3.448 0.000 0.003
0.000 5.245 0.474
-0.006 -0.180 8.641
F Li Ag
6 2 2
Direct
0.750 0.701 0.920 F
0.750 0.396 0.697 F
0.250 0.299 0.080 F
0.250 0.604 0.303 F
0.750 0.067 0.378 F
0.250 0.933 0.622 F
0.250 0.923 0.397 Li
0.750 0.077 0.603 Li
0.250 0.558 0.806 Ag
0.750 0.442 0.194 Ag
```

Which one sits at the top of the stability order? arrangement x does.